Record 1
The following is a DFT calculation (GGA-PBE) of a relaxed Dy3Tm3Mg crystal.

The formation energy comes out at 0.097 eV/atom. The spin magnetization is 0.02 μB/cell.

The space group is R-3 (No. 148, hexagonal axes) and the conventional cell measures 6.0909, 6.0909 and 41.3164 Å, with angles of 90.00, 90.00 and 120.00 degrees. Symmetry generates all atoms from Dy at (0.9999, 0.3360, 0.4349), Tm at (0.9997, 0.3325, 0.6326) and Mg at (0.0000, 0.0000, 0.1667).

Record 2
The following is a DFT calculation (GGA-PBE) of a relaxed Dy3Tm5Mg crystal.

The formation energy comes out at 0.528 eV/atom. The spin magnetization is 0.00 μB/cell.

The space group is C2/m (No. 12) and the conventional cell measures 14.826, 11.302 and 9.656 Å, with angles of 90.00, 129.29 and 90.00 degrees. Symmetry generates all atoms from Dy at (0.000, 0.000, 0.000), Dy at (0.000, 0.500, 0.500), Dy at (0.013, 0.000, 0.322), Dy at (0.020, 0.500, 0.860), Tm at (0.000, 0.240, 0.500), Tm at (0.155, 0.247, 0.254), Tm at (0.219, 0.500, 0.529), Tm at (0.225, 0.000, 0.743) and Mg at (0.248, 0.000, 0.107).

Copy entry 1 word for word.
The following is a DFT calculation (GGA-PBE) of a relaxed Dy3Tm3Mg crystal.

The formation energy comes out at 0.097 eV/atom. The spin magnetization is 0.02 μB/cell.

The space group is R-3 (No. 148, hexagonal axes) and the conventional cell measures 6.0909, 6.0909 and 41.3164 Å, with angles of 90.00, 90.00 and 120.00 degrees. Symmetry generates all atoms from Dy at (0.9999, 0.3360, 0.4349), Tm at (0.9997, 0.3325, 0.6326) and Mg at (0.0000, 0.0000, 0.1667).